[1]
Compound: V3Zn2N
Source: the Alexandria database
Functional: SCAN
Structure: single point on PBEsol structure

a b c (Å): 6.490 6.490 6.490
angles (deg): 90.00 90.00 90.00
Fractional positions:
1 V 0.038 0.125 0.788
2 V 0.125 0.788 0.038
3 V 0.212 0.538 0.375
4 V 0.288 0.462 0.875
5 V 0.375 0.212 0.538
6 V 0.462 0.875 0.288
7 V 0.538 0.375 0.212
8 V 0.625 0.712 0.962
9 V 0.712 0.962 0.625
10 V 0.788 0.038 0.125
11 V 0.875 0.288 0.462
12 V 0.962 0.625 0.712
13 Zn 0.072 0.928 0.428
14 Zn 0.178 0.178 0.178
15 Zn 0.322 0.822 0.678
16 Zn 0.428 0.072 0.928
17 Zn 0.572 0.572 0.572
18 Zn 0.678 0.322 0.822
19 Zn 0.822 0.678 0.322
20 Zn 0.928 0.428 0.072
21 N 0.125 0.375 0.625
22 N 0.375 0.625 0.125
23 N 0.625 0.125 0.375
24 N 0.875 0.875 0.875

* formation energy (no corrections): -679 meV per atom
* DOS at the Fermi energy: 5.63 states/eV per cell
* space-group type: P4_132, No. 213

[2]
Compound: YW3N
Source: the Alexandria database
Functional: SCAN
Structure: single point on PBEsol structure

a b c (Å): 4.734 4.734 4.734
angles (deg): 90.00 90.00 90.00
Fractional positions:
1 Y 0.000 0.000 0.000
2 W 0.000 0.000 0.500
3 W 0.000 0.500 0.000
4 W 0.500 0.000 0.000
5 N 0.500 0.500 0.500

* formation energy (no corrections): 4563 meV per atom
* DOS at the Fermi energy: 4.72 states/eV per cell
* space-group type: Pm-3m, No. 221

[3]
Compound: ZnW2N
Source: the Alexandria database
Functional: SCAN
Structure: single point on PBEsol structure

a b c (Å): 5.823 5.823 5.823
angles (deg): 90.00 90.00 90.00
Fractional positions:
1 Zn 0.000 0.000 0.000
2 Zn 0.000 0.500 0.500
3 Zn 0.500 0.000 0.500
4 Zn 0.500 0.500 0.000
5 W 0.250 0.250 0.250
6 W 0.250 0.250 0.750
7 W 0.250 0.750 0.250
8 W 0.250 0.750 0.750
9 W 0.750 0.250 0.250
10 W 0.750 0.250 0.750
11 W 0.750 0.750 0.250
12 W 0.750 0.750 0.750
13 N 0.000 0.000 0.500
14 N 0.000 0.500 0.000
15 N 0.500 0.000 0.000
16 N 0.500 0.500 0.500

* formation energy (no corrections): 1212 meV per atom
* DOS at the Fermi energy: 9.10 states/eV per cell
* space-group type: Fm-3m, No. 225

[4]
Compound: Y2Zn3N4
Source: the Alexandria database
Functional: SCAN
Structure: single point on PBEsol structure

a b c (Å): 6.714 6.714 6.247
angles (deg): 91.31 91.31 63.16
Fractional positions:
1 Y 0.015 0.267 0.360
2 Y 0.267 0.015 0.860
3 Y 0.733 0.985 0.140
4 Y 0.985 0.733 0.640
5 Zn 0.243 0.757 0.250
6 Zn 0.262 0.431 0.969
7 Zn 0.431 0.262 0.469
8 Zn 0.569 0.738 0.531
9 Zn 0.738 0.569 0.031
10 Zn 0.757 0.243 0.750
11 N 0.147 0.753 0.976
12 N 0.187 0.346 0.669
13 N 0.247 0.853 0.524
14 N 0.346 0.187 0.169
15 N 0.654 0.813 0.831
16 N 0.753 0.147 0.476
17 N 0.813 0.654 0.331
18 N 0.853 0.247 0.024

* formation energy (no corrections): -841 meV per atom
* DOS at the Fermi energy: 0.00 states/eV per cell
* space-group type: C2/c, No. 15

[5]
Compound: Zn3N
Source: the Alexandria database
Functional: SCAN
Structure: single point on PBEsol structure

a b c (Å): 3.428 3.428 8.193
angles (deg): 90.00 90.00 90.00
Fractional positions:
1 Zn 0.000 0.000 0.000
2 Zn 0.000 0.500 0.250
3 Zn 0.000 0.500 0.750
4 Zn 0.500 0.000 0.250
5 Zn 0.500 0.000 0.750
6 Zn 0.500 0.500 0.500
7 N 0.000 0.000 0.500
8 N 0.500 0.500 0.000

* formation energy (no corrections): 740 meV per atom
* DOS at the Fermi energy: 1.88 states/eV per cell
* space-group type: I4/mmm, No. 139

[6]
Compound: Zr3ZnN
Source: the Alexandria database
Functional: SCAN
Structure: single point on PBEsol structure

a b c (Å): 4.400 4.400 4.400
angles (deg): 90.00 90.00 90.00
Fractional positions:
1 Zr 0.000 0.000 0.500
2 Zr 0.000 0.500 0.000
3 Zr 0.500 0.000 0.000
4 Zn 0.500 0.500 0.500
5 N 0.000 0.000 0.000

* formation energy (no corrections): -946 meV per atom
* DOS at the Fermi energy: 2.30 states/eV per cell
* space-group type: Pm-3m, No. 221

- Look up the formation energy (no corrections) of the sixth one.
  -946 meV per atom